Material: SrDy3
Method: DFT, PBE
State: optimized geometry

Summary:
DFT formation energy = 20.0 kJ per mole of atoms
relative energy among the computed polymorphs = 40.6 meV/atom
calculated total energy = -3.665 eV per atom
crystal system = tetragonal
space group = No. 139

Cell: 6.3550 6.3550 6.3550 Å, 131.77 131.77 70.59°
Closest atoms and distances in Å follow each position.
Positions (direct):
Sr (0.0000, 0.0000, 0.0000)  12 Dy 3.67
Dy (0.7500, 0.2500, 0.5000)  8 Dy 3.67, 4 Sr 3.67
Dy (0.2500, 0.7500, 0.5000)  8 Dy 3.67, 4 Sr 3.67
Dy (0.5000, 0.5000, 0.0000)  8 Dy 3.67, 4 Sr 3.67